# SrIn2Hg

A relaxed SrIn2Hg crystal (PBE-GGA, Alexandria via LeMat-Bulk).

Properties
For the uncorrected energy, the calculation gives -2.1357 eV per atom. As for the density of states at the Fermi level: 2.88 states/eV/f.u. Its total magnetization is 0.0 μB per formula unit. For the formation energy from the elements, the calculation gives -0.2705 eV per atom.

Unit cell a=6.348 b=6.348 c=6.348 alpha=136.77 beta=136.77 gamma=62.79
Sites, in units of the cell vectors:
Hg (0.750, 0.250, 0.500)
In (0.000, 0.000, 0.000)
In (0.500, 0.500, 0.000)
Sr (0.250, 0.750, 0.500)